1.
Zn2WBr: optimized geometry, GGA-PBE.

Lattice parameters (Å, degrees): 2.9613 2.9613 8.5304 90.00 90.00 106.63
Element x y z (fractional)
Zn (0.0000, 0.0000, 0.2287)
Zn (0.0000, 0.0000, 0.7713)
W (0.5000, 0.5000, 0.0000)
Br (0.5000, 0.5000, 0.5000)

Computed properties:
symmetry = No. 65
raw formation energy = 0.452 eV per atom
total magnetic moment = 0.00 Bohr magnetons per cell
VASP energy = -15.364 eV per cell


2.
Cd2InHgOs: optimized geometry, GGA-PBE.

Lattice parameters (Å, degrees): 5.2511 5.2511 5.4068 90.00 90.00 90.00
Element x y z (fractional)
Cd (0.0000, 0.5000, 0.0000)
Cd (0.5000, 0.0000, 0.0000)
In (0.0000, 0.0000, 0.5000)
Hg (0.0000, 0.0000, 0.0000)
Os (0.5000, 0.5000, 0.5000)

Computed properties:
energy of formation from the pure elements = 1.47 eV per atom
symmetry = No. 123
total magnetic moment = 2.95 Bohr magnetons per cell
VASP energy = -8.733 eV per cell